A plane-wave DFT calculation with PBE was carried out for a geometry-optimized AlPtCl structure.

Cell and atoms, written as POSCAR:
```
AlPtCl
1.0
0.0000 2.2109 6.4719
2.0318 0.0000 6.4719
2.0318 2.2109 0.0000
Al Pt Cl
1 1 1
direct
0.0000 0.0000 0.0000
0.3922 0.3922 0.6078
0.6357 0.6357 0.3643
```

Relative energy among the computed polymorphs, eV per atom: 0.1597
Symmetry: Fmm2

---

A plane-wave DFT calculation with PBE was carried out for a geometry-optimized SrTiSi2O7 structure.

Cell and atoms, written as POSCAR:
```
SrTiSi2O7
1.0
2.7046 -7.3550 0.0000
2.7046 7.3550 0.0000
0.0000 0.0000 7.1476
Sr Ti Si O
2 2 4 14
direct
0.1985 0.8015 0.7500
0.8015 0.1985 0.2500
0.1090 0.8910 0.2500
0.8910 0.1090 0.7500
0.3917 0.6083 0.0249
0.3917 0.6083 0.4751
0.6083 0.3917 0.5249
0.6083 0.3917 0.9751
0.0052 0.9948 0.7500
0.0968 0.4036 0.5615
0.0968 0.4036 0.9385
0.3618 0.6382 0.2500
0.4036 0.0968 0.0615
0.4036 0.0968 0.4385
0.5000 0.5000 0.0000
0.5000 0.5000 0.5000
0.5964 0.9032 0.5615
0.5964 0.9032 0.9385
0.6382 0.3618 0.7500
0.9032 0.5964 0.0615
0.9032 0.5964 0.4385
0.9948 0.0052 0.2500
```

Symmetry: Cmcm
E_tot, eV per atom: -7.96

---

A plane-wave DFT calculation with PBE was carried out for a geometry-optimized Ce6CN5 structure.

Cell and atoms, written as POSCAR:
```
Ce6CN5
1.0
3.1077 -5.3832 0.0000
3.1077 5.3832 0.0000
-2.0704 0.0000 5.8596
Ce C N
6 1 5
direct
0.0801 0.4162 0.7490
0.2479 0.2479 0.2522
0.4162 0.0801 0.7490
0.5838 0.9199 0.2510
0.7521 0.7521 0.7478
0.9199 0.5838 0.2510
0.5000 0.5000 0.0000
0.0000 0.0000 0.5000
0.1668 0.8332 0.0000
0.3339 0.6661 0.5000
0.6661 0.3339 0.5000
0.8332 0.1668 0.0000
```

Symmetry: C2/m
E_tot, eV per atom: -8.47

---

A plane-wave DFT calculation with PBE was carried out for a geometry-optimized CaAgS2Cl structure.

Cell and atoms, written as POSCAR:
```
CaAgS2Cl
1.0
5.3795 0.0000 0.0000
0.0000 5.3795 0.0000
0.0000 0.0000 5.2295
Ca Ag S Cl
1 1 2 1
direct
0.0000 0.0000 0.0000
0.5000 0.5000 0.5000
0.0000 0.5000 0.0000
0.5000 0.0000 0.0000
0.0000 0.0000 0.5000
```

Relative energy among the computed polymorphs, eV per atom: 0.3334
Symmetry: P4/mmm

---

A plane-wave DFT calculation with PBE was carried out for a geometry-optimized BeHgS2N structure.

Cell and atoms, written as POSCAR:
```
BeHgS2N
1.0
5.0651 0.0000 0.0000
0.0000 5.0651 0.0000
0.0000 0.0000 3.0967
Be Hg S N
1 1 2 1
direct
0.0000 0.0000 0.0000
0.5000 0.5000 0.5000
0.0000 0.5000 0.0000
0.5000 0.0000 0.0000
0.0000 0.0000 0.5000
```

Relative energy among the computed polymorphs, eV per atom: 0.0000
Symmetry: P4/mmm